Version one
Material: HfSb3P
Method: DFT, PBE
State: optimized geometry

abc: 5.484 5.484 5.484
angles: 90.00 90.00 90.00
Fractional coordinates of all 5 atoms:
Hf  0.000  0.000  0.000
Sb  0.000  0.000  0.500
Sb  0.000  0.500  0.000
Sb  0.500  0.000  0.000
P  0.500  0.500  0.500

Version two
Material: HfSb3P
Method: DFT, PBE
State: optimized geometry

abc: 5.084 5.084 5.084
angles: 90.00 90.00 90.00
Fractional coordinates of all 5 atoms:
Hf  0.000  0.000  0.000
Sb  0.000  0.500  0.500
Sb  0.500  0.000  0.500
Sb  0.500  0.500  0.000
P  0.500  0.500  0.500

Compare the structures above. Which one is the most stable? version two is.